LiNdOsO6 | Alexandria | GGA-PBE | optimized geometry; formation energy without anion corrections = -1787 meV per atom; raw total energy = -7.0821 eV/atom; space group = P312 (149)
1.0
5.2143 0.0000 0.0000
-2.6072 4.5157 0.0000
0.0000 0.0000 5.0555
Li Nd Os O
1 1 1 6
direct
0.0000 0.0000 0.0000
0.6667 0.3333 0.5000
0.3333 0.6667 0.0000
0.0439 0.3682 0.2119
0.0439 0.6757 0.7881
0.3243 0.3682 0.7881
0.3243 0.9561 0.2119
0.6318 0.6757 0.2119
0.6318 0.9561 0.7881

---

LiNdOs2O8 | Alexandria | GGA-PBE | optimized geometry; formation energy without anion corrections = -1504 meV per atom; Fermi-level density of states = 0.36 states/eV per atom; raw total energy = -7.2382 eV/atom; space group = I-4 (82)
1.0
-2.6454 2.6454 5.7116
2.6454 -2.6454 5.7116
2.6454 2.6454 -5.7116
Li Nd Os O
1 1 2 8
direct
0.0000 0.0000 0.0000
0.2500 0.7500 0.5000
0.5000 0.5000 0.0000
0.7500 0.2500 0.5000
0.2557 0.6596 0.0839
0.3404 0.4243 0.5961
0.4201 0.0072 0.0951
0.5757 0.1718 0.9161
0.6751 0.5799 0.5871
0.8282 0.7443 0.4039
0.9120 0.3249 0.9049
0.9928 0.0880 0.4129

---

Li2NdOsO6 | Alexandria | GGA-PBE | optimized geometry; formation energy without anion corrections = -1860 meV per atom; Fermi-level density of states = 0.38 states/eV per atom; raw total energy = -6.8170 eV/atom; space group = P2_1/c (14)
1.0
5.4002 0.0000 0.0000
0.0000 5.5864 0.0000
-5.3441 0.0000 7.9435
Li Nd Os O
4 2 2 12
direct
0.2147 0.0168 0.2368
0.2147 0.4832 0.7368
0.7853 0.5168 0.2632
0.7853 0.9832 0.7632
0.0000 0.0000 0.5000
0.0000 0.5000 0.0000
0.5000 0.0000 0.0000
0.5000 0.5000 0.5000
0.1574 0.0862 0.7797
0.1574 0.4138 0.2797
0.2477 0.6379 0.5562
0.2477 0.8621 0.0562
0.4612 0.2022 0.5816
0.4612 0.2978 0.0816
0.5388 0.7022 0.9184
0.5388 0.7978 0.4184
0.7523 0.1379 0.9438
0.7523 0.3621 0.4438
0.8426 0.5862 0.7203
0.8426 0.9138 0.2203

---

LiNdP2O6 | Alexandria | GGA-PBE | optimized geometry; formation energy without anion corrections = -2163 meV per atom; Fermi-level density of states = 0.08 states/eV per atom; raw total energy = -6.8882 eV/atom; space group = R-3 (148)
1.0
2.6778 1.5460 5.6853
-2.6778 1.5460 5.6853
0.0000 -3.0920 5.6853
Li Nd P O
1 1 2 6
direct
0.0000 0.0000 0.0000
0.5000 0.5000 0.5000
0.2327 0.2327 0.2327
0.7673 0.7673 0.7673
0.0312 0.4691 0.7328
0.2672 0.9688 0.5309
0.4691 0.7328 0.0312
0.5309 0.2672 0.9688
0.7328 0.0312 0.4691
0.9688 0.5309 0.2672

---

LiNdP4O12 | Alexandria | GGA-PBE | optimized geometry; E above lowest polymorph = 0 meV/atom; formation energy without anion corrections = -2459 meV per atom; Fermi-level density of states = 0.00 states/eV per atom; raw total energy = -7.3378 eV/atom; space group = C2/c (15)
1.0
8.3431 -3.5882 0.0000
8.3431 3.5882 0.0000
-5.8845 0.0000 7.9816
Li Nd P O
2 2 8 24
direct
0.2032 0.7968 0.7500
0.7968 0.2032 0.2500
0.2964 0.7036 0.2500
0.7036 0.2964 0.7500
0.0838 0.1928 0.6139
0.1928 0.0838 0.1139
0.1972 0.5077 0.8020
0.4923 0.8028 0.6980
0.5077 0.1972 0.3020
0.8028 0.4923 0.1980
0.8072 0.9162 0.8861
0.9162 0.8072 0.3861
0.0362 0.2808 0.2300
0.0617 0.0738 0.4300
0.0738 0.0617 0.9300
0.1003 0.6728 0.3193
0.1606 0.3291 0.6482
0.2606 0.4855 0.9678
0.2808 0.0362 0.7300
0.3272 0.8997 0.1807
0.3291 0.1606 0.1482
0.3318 0.5193 0.7689
0.4807 0.6682 0.7311
0.4855 0.2606 0.4678
0.5145 0.7394 0.5322
0.5193 0.3318 0.2689
0.6682 0.4807 0.2311
0.6709 0.8394 0.8518
0.6728 0.1003 0.8193
0.7192 0.9638 0.2700
0.7394 0.5145 0.0322
0.8394 0.6709 0.3518
0.8997 0.3272 0.6807
0.9262 0.9383 0.0700
0.9383 0.9262 0.5700
0.9638 0.7192 0.7700

---

LiNdP4O12 | Alexandria | GGA-PBE | optimized geometry; E above lowest polymorph = 72 meV/atom; formation energy without anion corrections = -2387 meV per atom; Fermi-level density of states = 0.00 states/eV per atom; raw total energy = -7.2660 eV/atom; space group = C2/c (15)
1.0
8.4839 -3.5891 0.0000
8.4839 3.5891 0.0000
-6.1406 0.0000 8.1641
Li Nd P O
2 2 8 24
direct
0.0000 0.0000 0.0000
0.0000 0.0000 0.5000
0.2280 0.7720 0.7500
0.7720 0.2280 0.2500
0.0104 0.6904 0.2942
0.3096 0.9896 0.2058
0.3134 0.4156 0.8888
0.4156 0.3134 0.3888
0.5844 0.6866 0.6112
0.6866 0.5844 0.1112
0.6904 0.0104 0.7942
0.9896 0.3096 0.7058
0.0005 0.2359 0.5347
0.9995 0.7641 0.4653
0.0031 0.1572 0.7353
0.1572 0.0031 0.2353
0.1673 0.3490 0.8474
0.1818 0.6082 0.8349
0.2215 0.4589 0.2645
0.2359 0.0005 0.0347
0.3490 0.1673 0.3474
0.3918 0.8182 0.6651
0.4196 0.4383 0.5638
0.4383 0.4196 0.0638
0.4589 0.2215 0.7645
0.5411 0.7785 0.2355
0.5617 0.5804 0.9362
0.5804 0.5617 0.4362
0.6082 0.1818 0.3349
0.6510 0.8327 0.6526
0.7641 0.9995 0.9653
0.7785 0.5411 0.7355
0.8182 0.3918 0.1651
0.8327 0.6510 0.1526
0.8428 0.9969 0.7647
0.9969 0.8428 0.2647

---

LiNd2PaO6 | Alexandria | GGA-PBE | optimized geometry; formation energy without anion corrections = -3185 meV per atom; Fermi-level density of states = 0.00 states/eV per atom; raw total energy = -8.2543 eV/atom; space group = R3 (146)
1.0
2.9813 1.7213 5.0355
-2.9813 1.7213 5.0355
0.0000 -3.4425 5.0355
Li Nd Pa O
1 2 1 6
direct
0.0000 0.0000 0.0000
0.2784 0.2784 0.2784
0.7818 0.7818 0.7818
0.4976 0.4976 0.4976
0.1313 0.6855 0.3887
0.2119 0.6115 0.8624
0.3887 0.1313 0.6855
0.6115 0.8624 0.2119
0.6855 0.3887 0.1313
0.8624 0.2119 0.6115

---

LiNd2PbO5 | Alexandria | GGA-PBE | optimized geometry; formation energy without anion corrections = -2039 meV per atom; Fermi-level density of states = 0.24 states/eV per atom; raw total energy = -6.4775 eV/atom; space group = P4/mbm (127)
1.0
6.8268 0.0000 0.0000
0.0000 6.8268 0.0000
0.0000 0.0000 6.4428
Li Nd Pb O
2 4 2 10
direct
0.0000 0.0000 0.0000
0.5000 0.5000 0.0000
0.1750 0.3250 0.5000
0.3250 0.8250 0.5000
0.6750 0.1750 0.5000
0.8250 0.6750 0.5000
0.0000 0.5000 0.0000
0.5000 0.0000 0.0000
0.0000 0.0000 0.5000
0.1460 0.6460 0.2658
0.1460 0.6460 0.7342
0.3540 0.1460 0.2658
0.3540 0.1460 0.7342
0.5000 0.5000 0.5000
0.6460 0.8540 0.2658
0.6460 0.8540 0.7342
0.8540 0.3540 0.2658
0.8540 0.3540 0.7342

---

Li2Nd2PdO6 | Alexandria | GGA-PBE | optimized geometry; formation energy without anion corrections = -1962 meV per atom; Fermi-level density of states = 0.00 states/eV per atom; raw total energy = -6.3531 eV/atom; space group = R-3m (166)
1.0
2.8134 1.6243 5.0056
-2.8134 1.6243 5.0056
0.0000 -3.2486 5.0056
Li Nd Pd O
2 2 1 6
direct
0.0765 0.0765 0.0765
0.9235 0.9235 0.9235
0.2862 0.2862 0.2862
0.7138 0.7138 0.7138
0.5000 0.5000 0.5000
0.2567 0.2567 0.7152
0.2567 0.7152 0.2567
0.2848 0.7433 0.7433
0.7152 0.2567 0.2567
0.7433 0.2848 0.7433
0.7433 0.7433 0.2848

---

LiNd2PdO6 | Alexandria | GGA-PBE | optimized geometry; formation energy without anion corrections = -2112 meV per atom; Fermi-level density of states = 0.91 states/eV per atom; raw total energy = -6.7514 eV/atom; space group = P2_1/c (14)
1.0
5.4447 0.0000 0.0000
0.0000 5.8623 0.0000
-5.3904 0.0000 7.7211
Li Nd Pd O
2 4 2 12
direct
0.0000 0.0000 0.0000
0.0000 0.5000 0.5000
0.2302 0.0774 0.7491
0.2302 0.4226 0.2491
0.7698 0.5774 0.7509
0.7698 0.9226 0.2509
0.5000 0.0000 0.5000
0.5000 0.5000 0.0000
0.1474 0.1875 0.4502
0.1474 0.3125 0.9502
0.2686 0.7067 0.4493
0.2686 0.7933 0.9493
0.3497 0.0286 0.2512
0.3497 0.4714 0.7512
0.6503 0.5286 0.2488
0.6503 0.9714 0.7488
0.7314 0.2067 0.0507
0.7314 0.2933 0.5507
0.8526 0.6875 0.0498
0.8526 0.8125 0.5498

---

LiNd2PtO6 | Alexandria | GGA-PBE | optimized geometry; formation energy without anion corrections = -2201 meV per atom; Fermi-level density of states = 0.86 states/eV per atom; raw total energy = -6.9253 eV/atom; space group = P2_1/c (14)
1.0
5.4594 0.0000 0.0000
0.0000 5.8767 0.0000
-5.3790 0.0000 7.7562
Li Nd Pt O
2 4 2 12
direct
0.0000 0.0000 0.0000
0.0000 0.5000 0.5000
0.2294 0.0757 0.7489
0.2294 0.4243 0.2489
0.7706 0.5757 0.7511
0.7706 0.9243 0.2511
0.5000 0.0000 0.5000
0.5000 0.5000 0.0000
0.1473 0.1879 0.4494
0.1473 0.3121 0.9494
0.2686 0.7077 0.4480
0.2686 0.7923 0.9480
0.3522 0.0301 0.2520
0.3522 0.4699 0.7520
0.6478 0.5301 0.2480
0.6478 0.9699 0.7480
0.7314 0.2077 0.0520
0.7314 0.2923 0.5520
0.8527 0.6879 0.0506
0.8527 0.8121 0.5506

---

Li2Nd2PtO6 | Alexandria | GGA-PBE | optimized geometry; formation energy without anion corrections = -2011 meV per atom; Fermi-level density of states = 0.00 states/eV per atom; raw total energy = -6.4793 eV/atom; space group = R-3m (166)
1.0
2.8059 1.6200 5.0818
-2.8059 1.6200 5.0818
0.0000 -3.2399 5.0818
Li Nd Pt O
2 2 1 6
direct
0.0763 0.0763 0.0763
0.9237 0.9237 0.9237
0.2865 0.2865 0.2865
0.7135 0.7135 0.7135
0.5000 0.5000 0.5000
0.2566 0.2566 0.7136
0.2566 0.7136 0.2566
0.2864 0.7434 0.7434
0.7136 0.2566 0.2566
0.7434 0.2864 0.7434
0.7434 0.7434 0.2864

---

Please write out number 10 again, unchanged.
LiNd2PdO6 | Alexandria | GGA-PBE | optimized geometry; formation energy without anion corrections = -2112 meV per atom; Fermi-level density of states = 0.91 states/eV per atom; raw total energy = -6.7514 eV/atom; space group = P2_1/c (14)
1.0
5.4447 0.0000 0.0000
0.0000 5.8623 0.0000
-5.3904 0.0000 7.7211
Li Nd Pd O
2 4 2 12
direct
0.0000 0.0000 0.0000
0.0000 0.5000 0.5000
0.2302 0.0774 0.7491
0.2302 0.4226 0.2491
0.7698 0.5774 0.7509
0.7698 0.9226 0.2509
0.5000 0.0000 0.5000
0.5000 0.5000 0.0000
0.1474 0.1875 0.4502
0.1474 0.3125 0.9502
0.2686 0.7067 0.4493
0.2686 0.7933 0.9493
0.3497 0.0286 0.2512
0.3497 0.4714 0.7512
0.6503 0.5286 0.2488
0.6503 0.9714 0.7488
0.7314 0.2067 0.0507
0.7314 0.2933 0.5507
0.8526 0.6875 0.0498
0.8526 0.8125 0.5498